Crystalline BaMgTl2 at its relaxed geometry, computed with GGA-PBE.

Cell lengths 5.519, 5.519, 20.161 Å; angles 90.00, 90.00, 90.00 degrees
Space group I-42d (No. 122)
Asymmetric unit:
Ba  0.000  0.000  0.000
Mg  0.000  0.000  0.500
Tl  0.124  0.250  0.625

The calculation puts the calculated formation energy at -0.074 eV per atom. The total energy comes out at -8.5 eV per formula unit.